(1)
{"formula": "Sr2ReSb", "functional": "PBE", "state": "optimized geometry", "lattice": [[11.360, 0.000, 0.000], [0.000, 11.360, 0.000], [5.680, 5.680, 2.559]], "species": ["Sr", "Sr", "Sr", "Sr", "Re", "Re", "Sb", "Sb"], "frac_coords": [[0.947, 0.625, 0.250], [0.375, 0.197, 0.750], [0.875, 0.053, 0.750], [0.803, 0.125, 0.250], [0.000, 0.000, 0.000], [0.750, 0.250, 0.500], [0.250, 0.750, 0.500], [0.500, 0.500, 0.000]], "raw_formation_energy_ev_per_fu": 1.54, "m_tot_mub_per_fu": 0.555, "e_tot_ev_per_cell": -36.79}

(2)
{"formula": "SrReSb2", "functional": "PBE", "state": "optimized geometry", "lattice": [[5.140, 0.000, 0.000], [2.570, 4.452, 0.000], [2.570, 1.484, 4.197]], "species": ["Sb", "Sb", "Re", "Sr"], "frac_coords": [[0.250, 0.250, 0.250], [0.000, 0.000, 0.000], [0.500, 0.500, 0.500], [0.750, 0.750, 0.750]], "raw_formation_energy_ev_per_fu": 2.85, "relative_energy_ev_per_fu": 2.96, "m_tot_mub_per_fu": 0.784, "e_tot_ev_per_cell": -19.52}

(3)
{"formula": "SrReSb2", "functional": "PBE", "state": "optimized geometry", "lattice": [[-2.889, 1.335, -1.186], [-1.469, -0.495, 3.022], [2.428, 7.375, 2.388]], "species": ["Re", "Sb", "Sb", "Sr"], "frac_coords": [[0.500, 0.500, 0.750], [0.000, 0.000, 0.554], [0.000, 0.000, 0.946], [0.500, 0.500, 0.250]], "raw_formation_energy_ev_per_fu": 0.18, "relative_energy_ev_per_fu": 0.29, "m_tot_mub_per_fu": 0.000, "e_tot_ev_per_cell": -22.19}

(4)
{"formula": "SrReSb2", "functional": "PBE", "state": "optimized geometry", "lattice": [[4.454, 0.003, -0.006], [2.978, 3.311, -0.006], [1.422, 0.634, 6.990]], "species": ["Sb", "Sb", "Sr", "Re"], "frac_coords": [[0.518, 0.518, 0.434], [0.982, 0.982, 0.066], [0.750, 0.750, 0.750], [0.250, 0.250, 0.250]], "raw_formation_energy_ev_per_fu": -0.11, "relative_energy_ev_per_fu": 0.00, "m_tot_mub_per_fu": 0.000, "e_tot_ev_per_cell": -22.49}

(5)
{"formula": "SrRe3Sb", "functional": "PBE", "state": "optimized geometry", "lattice": [[-2.114, 1.516, -4.234], [-0.144, -4.699, -1.610], [-4.495, -0.562, 2.043]], "species": ["Sr", "Re", "Re", "Re", "Sb"], "frac_coords": [[0.500, 0.500, 0.500], [0.000, 0.000, 0.500], [0.500, 0.000, 0.000], [0.000, 0.500, 0.000], [0.000, 0.000, 0.000]], "raw_formation_energy_ev_per_fu": 9.99, "relative_energy_ev_per_fu": 0.00, "m_tot_mub_per_fu": 2.420, "e_tot_ev_per_cell": -33.16}

(6)
{"formula": "Sr2ReSb", "functional": "PBE", "state": "optimized geometry", "lattice": [[7.606, 0.006, 0.021], [-3.147, 5.004, -0.008], [1.312, 0.828, 2.761]], "species": ["Sr", "Sr", "Sb", "Re"], "frac_coords": [[0.000, 0.000, 0.000], [0.500, 0.000, 0.500], [0.500, 0.500, 0.000], [0.000, 0.500, 0.500]], "raw_formation_energy_ev_per_fu": 1.92, "m_tot_mub_per_fu": 0.000, "e_tot_ev_per_cell": -18.01}

(7)
{"formula": "Sr2ReSb", "functional": "PBE", "state": "optimized geometry", "lattice": [[-3.024, 2.758, -4.994], [0.451, -2.841, -5.781], [-1.847, -0.747, 6.141]], "species": ["Sb", "Sr", "Sr", "Re"], "frac_coords": [[0.296, 0.796, 0.500], [0.726, 0.226, 0.500], [0.020, 0.020, 0.000], [0.458, 0.458, 0.000]], "raw_formation_energy_ev_per_fu": 1.14, "m_tot_mub_per_fu": 0.000, "e_tot_ev_per_cell": -18.79}

(8)
{"formula": "Sr2Re2Sb", "functional": "PBE", "state": "optimized geometry", "lattice": [[-1.808, 1.808, 10.205], [1.808, -1.808, 10.205], [1.808, 1.808, -10.205]], "species": ["Re", "Re", "Sb", "Sr", "Sr"], "frac_coords": [[0.750, 0.250, 0.500], [0.250, 0.750, 0.500], [0.000, 0.000, 0.000], [0.614, 0.614, 0.000], [0.386, 0.386, 0.000]], "raw_formation_energy_ev_per_fu": 0.68, "m_tot_mub_per_fu": 0.000, "e_tot_ev_per_cell": -31.70}

(9)
{"formula": "Sr2ReSb", "functional": "PBE", "state": "optimized geometry", "lattice": [[3.364, 0.003, 0.000], [-0.003, 3.364, 0.000], [0.000, 0.000, 9.650]], "species": ["Re", "Sb", "Sr", "Sr"], "frac_coords": [[0.500, 0.500, 0.250], [0.500, 0.500, 0.750], [0.000, 0.000, 0.021], [0.000, 0.000, 0.479]], "raw_formation_energy_ev_per_fu": 1.78, "m_tot_mub_per_fu": 1.137, "e_tot_ev_per_cell": -18.15}

(10)
{"formula": "SrReSb2", "functional": "PBE", "state": "optimized geometry", "lattice": [[-0.329, -0.738, -5.353], [-4.836, -2.423, 0.228], [1.692, 4.954, 1.380]], "species": ["Sr", "Re", "Sb", "Sb"], "frac_coords": [[0.750, 0.250, 0.500], [0.250, 0.750, 0.500], [0.454, 0.454, 0.000], [0.046, 0.046, 0.000]], "raw_formation_energy_ev_per_fu": 0.80, "relative_energy_ev_per_fu": 0.92, "m_tot_mub_per_fu": 0.000, "e_tot_ev_per_cell": -21.57}

(11)
{"formula": "Sr2ReSb", "functional": "PBE", "state": "optimized geometry", "lattice": [[10.561, 0.021, 0.012], [9.968, 3.491, 0.012], [9.968, 1.705, 3.046]], "species": ["Sb", "Re", "Sr", "Sr"], "frac_coords": [[0.750, 0.750, 0.750], [0.250, 0.250, 0.250], [0.994, 0.994, 0.994], [0.506, 0.506, 0.506]], "raw_formation_energy_ev_per_fu": 2.57, "m_tot_mub_per_fu": 1.089, "e_tot_ev_per_cell": -17.36}

(12)
{"formula": "SrReSb3", "functional": "PBE", "state": "optimized geometry", "lattice": [[5.306, 0.000, 0.000], [0.000, 5.306, 0.000], [0.000, 0.000, 5.306]], "species": ["Sb", "Sb", "Sb", "Sr", "Re"], "frac_coords": [[0.000, 0.000, 0.500], [0.500, 0.000, 0.000], [0.000, 0.500, 0.000], [0.500, 0.500, 0.500], [0.000, 0.000, 0.000]], "raw_formation_energy_ev_per_fu": 1.16, "relative_energy_ev_per_fu": 0.00, "m_tot_mub_per_fu": 0.000, "e_tot_ev_per_cell": -25.34}

(13)
{"formula": "SrRe3Sb", "functional": "PBE", "state": "optimized geometry", "lattice": [[4.876, 0.000, 0.000], [0.000, 4.876, 0.000], [0.000, 0.000, 4.876]], "species": ["Re", "Re", "Re", "Sr", "Sb"], "frac_coords": [[0.000, 0.000, 0.500], [0.000, 0.500, 0.000], [0.500, 0.000, 0.000], [0.000, 0.000, 0.000], [0.500, 0.500, 0.500]], "raw_formation_energy_ev_per_fu": 17.77, "relative_energy_ev_per_fu": 7.78, "m_tot_mub_per_fu": 2.805, "e_tot_ev_per_cell": -25.38}

(14)
{"formula": "Sr2ReSb", "functional": "PBE", "state": "optimized geometry", "lattice": [[-4.295, 1.664, 0.539], [-0.321, -1.690, 2.663], [2.343, 3.925, 6.553]], "species": ["Sr", "Sr", "Sb", "Re"], "frac_coords": [[0.000, 0.988, 0.012], [0.000, 0.512, 0.488], [0.500, 0.750, 0.750], [0.500, 0.250, 0.250]], "raw_formation_energy_ev_per_fu": 1.87, "m_tot_mub_per_fu": 0.000, "e_tot_ev_per_cell": -18.07}

(15)
{"formula": "SrRe4Sb", "functional": "PBE", "state": "optimized geometry", "lattice": [[0.000, 3.845, 3.845], [3.845, 0.000, 3.845], [3.845, 3.845, 0.000]], "species": ["Re", "Re", "Re", "Re", "Sr", "Sb"], "frac_coords": [[0.376, 0.376, 0.872], [0.376, 0.872, 0.376], [0.376, 0.376, 0.376], [0.872, 0.376, 0.376], [0.000, 0.000, 0.000], [0.750, 0.750, 0.750]], "raw_formation_energy_ev_per_fu": 3.78, "m_tot_mub_per_fu": 0.000, "e_tot_ev_per_cell": -51.82}